[1]
Here is a relaxed structure of PmPuTc from Alexandria. Energies are from PBE.

Calculated values
- calculated total energy (eV per atom) = -9.587
- energy above the most stable polymorph in this dataset (meV/atom) = 202.7
- formation energy from the elements (meV per atom) = 230

POSCAR file:
```
PmPuTc
1.0
3.269 0.000 0.000
0.000 4.164 0.000
0.000 0.000 19.548
Pm Pu Tc
4 4 4
Cartesian
0.744 0.014 8.524
0.890 4.150 18.298
2.379 2.068 11.025
2.525 2.095 1.251
0.282 2.460 4.337
1.353 1.703 14.111
1.917 3.785 15.211
2.988 0.379 5.437
0.494 4.086 12.697
1.141 0.078 2.923
2.128 2.160 6.851
2.776 2.004 16.625
```

---

[2]
Here is a relaxed structure of PmNd2Sm8 from Alexandria. Energies are from PBE.

Calculated values
- calculated total energy (eV per atom) = -4.717
- energy above the most stable polymorph in this dataset (meV/atom) = 0.0
- formation energy from the elements (meV per atom) = 14

POSCAR file:
```
PmNd2Sm8
1.0
9.268 -2.573 0.000
9.268 2.573 0.000
-2.145 0.000 7.858
Pm Nd Sm
1 2 8
Cartesian
0.000 0.000 0.000
4.276 0.000 2.854
12.115 0.000 5.004
0.702 0.000 3.572
1.418 0.000 7.142
4.989 0.000 6.439
7.847 0.000 2.143
8.544 0.000 5.715
11.402 0.000 1.419
14.974 0.000 0.717
15.689 0.000 4.287
```

---

[3]
Here is a relaxed structure of V2WCl from Alexandria. Energies are from PBE.

Calculated values
- calculated total energy (eV per atom) = -7.400
- energy above the most stable polymorph in this dataset (meV/atom) = 92.4
- formation energy (no corrections) (kJ/mol of formula units) = 332

POSCAR file:
```
V2WCl
1.0
0.000 3.109 3.109
3.109 0.000 3.109
3.109 3.109 0.000
V W Cl
2 1 1
Cartesian
1.555 1.555 1.555
4.664 4.664 4.664
0.000 0.000 0.000
3.109 3.109 3.109
```

---

[4]
Here is a relaxed structure of RbCa2Au from Alexandria. Energies are from PBE.

Calculated values
- calculated total energy (eV per atom) = -2.211
- energy above the most stable polymorph in this dataset (meV/atom) = 144.9
- formation energy from the elements (meV per atom) = -149

POSCAR file:
```
RbCa2Au
1.0
-4.883 4.883 3.655
4.883 -4.883 3.655
4.883 4.883 -3.655
Rb Ca Au
2 4 2
Cartesian
0.000 0.000 0.000
0.000 4.883 1.827
2.442 -1.385 2.741
3.498 2.442 0.914
2.442 6.269 -0.914
1.385 2.442 4.568
4.883 0.000 1.827
0.000 0.000 3.655
```

---

[5]
Here is a relaxed structure of Pr3TcBr2O6 from Alexandria. Energies are from PBE.

Calculated values
- calculated total energy (eV per atom) = -6.836
- formation energy (no corrections) (kJ/mol of formula units) = -2338

POSCAR file:
```
Pr3TcBr2O6
1.0
5.894 -3.403 0.000
5.894 3.403 0.000
-1.060 0.000 5.836
Pr Tc Br O
3 1 2 6
Cartesian
0.000 0.000 0.000
2.417 1.701 2.918
2.417 -1.701 2.918
5.364 0.000 2.918
1.749 0.000 5.182
8.980 0.000 0.654
4.531 1.578 4.053
6.198 1.578 1.784
3.655 0.000 1.991
7.074 0.000 3.845
4.531 -1.578 4.053
6.198 -1.578 1.784
```

---

[6]
Here is a relaxed structure of ThMg2GaCu2 from Alexandria. Energies are from PBE.

Calculated values
- calculated total energy (eV per atom) = -3.578
- formation energy from the elements (meV per atom) = 60

POSCAR file:
```
ThMg2GaCu2
1.0
-2.429 2.429 5.412
2.429 -2.429 5.412
2.429 2.429 -5.412
Th Mg Ga Cu
1 2 1 2
Cartesian
0.000 0.000 0.000
2.429 0.000 2.706
0.000 2.429 2.706
0.000 0.000 5.412
0.000 0.000 3.094
0.000 0.000 7.729
```

---

> calculated total energy of number 3 (V2WCl)?

-7.400 eV per atom